w) This record from OQMD describes crystalline LiTlCuIr at its relaxed geometry. The functional is GGA-PBE.

It has space group F-43m (No. 216), with a = 6.336 Å, b = 6.336 Å, c = 6.336 Å, α = 90.00°, β = 90.00° and γ = 90.00°. The distinct sites, in fractional coordinates, are Li at (0.000, 0.000, 0.000), Tl at (0.000, 0.000, 0.500), Cu at (0.250, 0.250, 0.750) and Ir at (0.250, 0.250, 0.250).

As for the total magnetic moment: 0.001 μB/atom.

***

x) This record from OQMD describes crystalline LiTlCuIr at its relaxed geometry. The functional is GGA-PBE.

It has space group F-43m (No. 216), with a = 6.200 Å, b = 6.200 Å, c = 6.200 Å, α = 90.00°, β = 90.00° and γ = 90.00°. The distinct sites, in fractional coordinates, are Li at (0.000, 0.000, 0.000), Tl at (0.250, 0.250, 0.250), Cu at (0.000, 0.000, 0.500) and Ir at (0.250, 0.250, 0.750).

As for the total magnetic moment: 0.001 μB/atom.

***

If you had to bet on the most stable structure above, which would it be? Bet on x).